Run a
DFT (PBE-GGA) results for crystalline NdSm2Y7 at its relaxed geometry.

POSCAR file:
```
NdSm2Y7
1.0
-2.791 5.646 5.773
2.791 -5.646 5.773
2.791 5.646 -5.773
Nd Sm Y
1 2 7
direct
0.000 0.000 0.000
0.159 0.659 0.500
0.841 0.341 0.500
0.103 0.850 0.253
0.335 0.335 0.000
0.402 0.150 0.253
0.500 0.000 0.500
0.598 0.850 0.747
0.665 0.665 0.000
0.897 0.150 0.747
```

Results
V, Å³ per atom: 36.40
ρ, g/cm³: 4.87
Density of states at the Fermi level, states/eV/cell: 15.7
SG: Immm

Run b
DFT (PBE-GGA) results for crystalline NdSm2Y7 at its relaxed geometry.

POSCAR file:
```
NdSm2Y7
1.0
4.397 -8.114 0.000
4.397 8.114 0.000
0.000 0.000 5.609
Nd Sm Y
1 2 7
direct
0.000 0.000 0.000
0.297 0.703 0.500
0.703 0.297 0.500
0.062 0.292 0.500
0.220 0.780 0.000
0.292 0.062 0.500
0.500 0.500 0.500
0.708 0.938 0.500
0.780 0.220 0.000
0.938 0.708 0.500
```

Results
V, Å³ per atom: 40.02
ρ, g/cm³: 4.43
Density of states at the Fermi level, states/eV/cell: 14.4
SG: Cmmm

The most stable of them is run a.

Run a
DFT (PBE-GGA) results for crystalline Nd2Sm5Y2 at its relaxed geometry.

POSCAR file:
```
Nd2Sm5Y2
1.0
3.517 0.000 0.000
-0.004 8.779 0.000
-1.753 -2.028 10.027
Nd Sm Y
2 5 2
direct
0.102 0.335 0.204
0.898 0.665 0.796
0.280 0.353 0.561
0.444 0.331 0.887
0.500 0.000 0.000
0.556 0.669 0.113
0.720 0.647 0.439
0.323 0.970 0.646
0.677 0.030 0.354
```

Results
V, Å³ per atom: 34.40
ρ, g/cm³: 6.53
Density of states at the Fermi level, states/eV/cell: 15.5
SG: P-1

Run b
DFT (PBE-GGA) results for crystalline Nd2Sm5Y2 at its relaxed geometry.

POSCAR file:
```
Nd2Sm5Y2
1.0
-7.515 6.002 3.413
7.515 -6.002 3.413
7.515 6.002 -3.413
Nd Sm Y
4 10 4
direct
0.000 0.000 0.000
0.000 0.500 0.500
0.064 0.818 0.746
0.072 0.318 0.254
0.097 0.008 0.375
0.097 0.221 0.589
0.138 0.626 0.011
0.431 0.130 0.197
0.431 0.734 0.801
0.615 0.126 0.989
0.633 0.508 0.411
0.633 0.721 0.625
0.932 0.234 0.803
0.932 0.630 0.199
0.528 0.156 0.623
0.528 0.404 0.871
0.533 0.656 0.129
0.533 0.904 0.377
```

Results
V, Å³ per atom: 34.21
ρ, g/cm³: 6.57
Density of states at the Fermi level, states/eV/cell: 28.3
SG: Ima2

The most stable of them is run a.

Run a
DFT (PBE-GGA) results for crystalline Nd2SmZn3 at its relaxed geometry.

POSCAR file:
```
Nd2SmZn3
1.0
5.187 0.000 0.000
-2.594 4.492 0.000
0.000 0.000 6.355
Nd Sm Zn
2 1 3
direct
0.333 0.667 0.170
0.667 0.333 0.830
0.000 0.000 0.500
0.000 0.000 0.000
0.333 0.667 0.666
0.667 0.333 0.334
```

Results
V, Å³ per atom: 24.68
ρ, g/cm³: 7.12
Density of states at the Fermi level, states/eV/cell: 5.9
SG: P-3m1

Run b
DFT (PBE-GGA) results for crystalline Nd2SmZn3 at its relaxed geometry.

POSCAR file:
```
Nd2SmZn3
1.0
3.671 0.000 0.000
0.000 3.671 0.000
0.000 0.000 11.034
Nd Sm Zn
2 1 3
direct
0.000 0.000 0.168
0.000 0.000 0.832
0.000 0.000 0.500
0.500 0.500 0.000
0.500 0.500 0.338
0.500 0.500 0.662
```

Results
V, Å³ per atom: 24.78
ρ, g/cm³: 7.09
Density of states at the Fermi level, states/eV/cell: 7.7
SG: P4/mmm

The most stable of them is run a.

Run a
DFT (PBE-GGA) results for crystalline NdSm2Zn at its relaxed geometry.

POSCAR file:
```
NdSm2Zn
1.0
4.844 0.000 0.000
0.000 4.844 0.000
0.000 0.000 4.853
Nd Sm Zn
1 2 1
direct
0.000 0.000 0.000
0.000 0.500 0.500
0.500 0.000 0.500
0.500 0.500 0.000
```

Results
V, Å³ per atom: 28.46
ρ, g/cm³: 7.44
Density of states at the Fermi level, states/eV/cell: 6.5
SG: P4/mmm

Run b
DFT (PBE-GGA) results for crystalline NdSm2Zn at its relaxed geometry.

POSCAR file:
```
NdSm2Zn
1.0
0.000 3.858 3.858
3.858 0.000 3.858
3.858 3.858 0.000
Nd Sm Zn
1 2 1
direct
0.000 0.000 0.000
0.250 0.250 0.250
0.750 0.750 0.750
0.500 0.500 0.500
```

Results
V, Å³ per atom: 28.71
ρ, g/cm³: 7.38
Density of states at the Fermi level, states/eV/cell: 5.3
SG: Fm-3m

Run c
DFT (PBE-GGA) results for crystalline NdSm2Zn at its relaxed geometry.

POSCAR file:
```
NdSm2Zn
1.0
1.837 1.061 10.515
-1.837 1.061 10.515
0.000 -2.121 10.515
Nd Sm Zn
1 2 1
direct
0.000 0.000 0.000
0.570 0.570 0.570
0.762 0.762 0.762
0.166 0.166 0.166
```

Results
V, Å³ per atom: 30.74
ρ, g/cm³: 6.89
Density of states at the Fermi level, states/eV/cell: 4.3
SG: R3m

Run d
DFT (PBE-GGA) results for crystalline NdSm2Zn at its relaxed geometry.

POSCAR file:
```
NdSm2Zn
1.0
3.654 0.000 0.000
0.000 3.654 0.000
0.000 0.000 8.806
Nd Sm Zn
1 2 1
direct
0.000 0.000 0.000
0.500 0.500 0.295
0.500 0.500 0.705
0.000 0.000 0.500
```

Results
V, Å³ per atom: 29.40
ρ, g/cm³: 7.21
Density of states at the Fermi level, states/eV/cell: 4.2
SG: P4/mmm

The most stable of them is run d.